Version 1
# PBE IrRhCl2, relaxed
# Total magnetic moment   0.00 μB/f.u.
data_IrRhCl2
_symmetry_space_group_name_H-M 'P 1'
_symmetry_Int_Tables_number 1
_cell_length_a 5.164
_cell_length_b 5.164
_cell_length_c 5.164
_cell_angle_alpha 147.59
_cell_angle_beta 117.26
_cell_angle_gamma 72.41
loop_
_symmetry_equiv_pos_as_xyz
'x,y,z'
loop_
_atom_site_label
_atom_site_fract_x
_atom_site_fract_y
_atom_site_fract_z
Cl1 0.987 0.987 0.000
Cl2 0.513 0.513 0.000
Rh1 0.250 0.750 0.500
Ir1 0.750 0.250 0.500

Version 2
# PBE IrRhCl2, relaxed
# Total magnetic moment   0.00 μB/f.u.
data_IrRhCl2
_symmetry_space_group_name_H-M 'P 1'
_symmetry_Int_Tables_number 1
_cell_length_a 3.564
_cell_length_b 3.564
_cell_length_c 7.058
_cell_angle_alpha 90.00
_cell_angle_beta 90.00
_cell_angle_gamma 90.00
loop_
_symmetry_equiv_pos_as_xyz
'x,y,z'
loop_
_atom_site_label
_atom_site_fract_x
_atom_site_fract_y
_atom_site_fract_z
Cl1 0.500 0.500 0.338
Cl2 0.000 0.000 0.912
Rh1 0.500 0.500 0.662
Ir1 0.000 0.000 0.588

Short version: version 1 is the least stable of them.

Version 1
# PBE IrRu3Cl, relaxed
# Total magnetic moment   0.00 μB/f.u.
data_IrRu3Cl
_symmetry_space_group_name_H-M 'P 1'
_symmetry_Int_Tables_number 1
_cell_length_a 4.290
_cell_length_b 4.290
_cell_length_c 4.290
_cell_angle_alpha 90.00
_cell_angle_beta 90.00
_cell_angle_gamma 90.00
loop_
_symmetry_equiv_pos_as_xyz
'x,y,z'
loop_
_atom_site_label
_atom_site_fract_x
_atom_site_fract_y
_atom_site_fract_z
Ru1 0.000 0.500 0.000
Ru2 0.000 0.000 0.500
Ru3 0.500 0.000 0.000
Cl1 0.000 0.000 0.000
Ir1 0.500 0.500 0.500

Version 2
# PBE IrRu3Cl, relaxed
# Total magnetic moment   4.40 μB/f.u.
data_IrRu3Cl
_symmetry_space_group_name_H-M 'P 1'
_symmetry_Int_Tables_number 1
_cell_length_a 4.789
_cell_length_b 4.789
_cell_length_c 4.789
_cell_angle_alpha 90.00
_cell_angle_beta 90.00
_cell_angle_gamma 90.00
loop_
_symmetry_equiv_pos_as_xyz
'x,y,z'
loop_
_atom_site_label
_atom_site_fract_x
_atom_site_fract_y
_atom_site_fract_z
Ru1 0.000 0.000 0.500
Ru2 0.500 0.000 0.000
Ru3 0.000 0.500 0.000
Cl1 0.500 0.500 0.500
Ir1 0.000 0.000 0.000

Short version: version 2 is the least stable of them.

Version 1
# PBE IrRuCl, relaxed
# Total magnetic moment   0.03 μB/f.u.
data_IrRuCl
_symmetry_space_group_name_H-M 'P 1'
_symmetry_Int_Tables_number 1
_cell_length_a 7.150
_cell_length_b 6.831
_cell_length_c 2.882
_cell_angle_alpha 84.39
_cell_angle_beta 71.96
_cell_angle_gamma 23.65
loop_
_symmetry_equiv_pos_as_xyz
'x,y,z'
loop_
_atom_site_label
_atom_site_fract_x
_atom_site_fract_y
_atom_site_fract_z
Ru1 0.664 0.664 0.336
Ir1 0.325 0.325 0.675
Cl1 0.011 0.011 0.989

Version 2
# PBE IrRuCl, relaxed
# Total magnetic moment   0.00 μB/f.u.
data_IrRuCl
_symmetry_space_group_name_H-M 'P 1'
_symmetry_Int_Tables_number 1
_cell_length_a 6.493
_cell_length_b 6.493
_cell_length_c 6.493
_cell_angle_alpha 154.66
_cell_angle_beta 154.66
_cell_angle_gamma 36.15
loop_
_symmetry_equiv_pos_as_xyz
'x,y,z'
loop_
_atom_site_label
_atom_site_fract_x
_atom_site_fract_y
_atom_site_fract_z
Ir1 0.302 0.302 0.000
Ru1 0.670 0.670 0.000
Cl1 0.028 0.028 0.000

Short version: version 1 is the least stable of them.

Version 1
# PBE IrRuCl, relaxed
# Total magnetic moment   0.00 μB/f.u.
data_IrRuCl
_symmetry_space_group_name_H-M 'P 1'
_symmetry_Int_Tables_number 1
_cell_length_a 4.221
_cell_length_b 4.221
_cell_length_c 4.221
_cell_angle_alpha 60.00
_cell_angle_beta 60.00
_cell_angle_gamma 60.00
loop_
_symmetry_equiv_pos_as_xyz
'x,y,z'
loop_
_atom_site_label
_atom_site_fract_x
_atom_site_fract_y
_atom_site_fract_z
Ir1 0.500 0.500 0.500
Cl1 0.000 0.000 0.000
Ru1 0.750 0.750 0.750

Version 2
# PBE IrRuCl, relaxed
# Total magnetic moment   0.00 μB/f.u.
data_IrRuCl
_symmetry_space_group_name_H-M 'P 1'
_symmetry_Int_Tables_number 1
_cell_length_a 2.893
_cell_length_b 2.893
_cell_length_c 6.304
_cell_angle_alpha 90.00
_cell_angle_beta 90.00
_cell_angle_gamma 120.00
loop_
_symmetry_equiv_pos_as_xyz
'x,y,z'
loop_
_atom_site_label
_atom_site_fract_x
_atom_site_fract_y
_atom_site_fract_z
Ir1 0.667 0.333 0.352
Ru1 0.333 0.667 0.669
Cl1 0.000 0.000 0.979

Short version: version 1 is the least stable of them.

Version 1
# PBE Ir3RuCl, relaxed
# Total magnetic moment   2.95 μB/f.u.
data_Ir3RuCl
_symmetry_space_group_name_H-M 'P 1'
_symmetry_Int_Tables_number 1
_cell_length_a 4.389
_cell_length_b 4.389
_cell_length_c 4.389
_cell_angle_alpha 90.00
_cell_angle_beta 90.00
_cell_angle_gamma 90.00
loop_
_symmetry_equiv_pos_as_xyz
'x,y,z'
loop_
_atom_site_label
_atom_site_fract_x
_atom_site_fract_y
_atom_site_fract_z
Ru1 0.500 0.500 0.500
Ir1 0.000 0.000 0.500
Ir2 0.500 0.000 0.000
Ir3 0.000 0.500 0.000
Cl1 0.000 0.000 0.000

Version 2
# PBE Ir3RuCl, relaxed
# Total magnetic moment   0.00 μB/f.u.
data_Ir3RuCl
_symmetry_space_group_name_H-M 'P 1'
_symmetry_Int_Tables_number 1
_cell_length_a 4.740
_cell_length_b 4.740
_cell_length_c 4.740
_cell_angle_alpha 90.00
_cell_angle_beta 90.00
_cell_angle_gamma 90.00
loop_
_symmetry_equiv_pos_as_xyz
'x,y,z'
loop_
_atom_site_label
_atom_site_fract_x
_atom_site_fract_y
_atom_site_fract_z
Ir1 0.000 0.500 0.000
Ir2 0.500 0.000 0.000
Ir3 0.000 0.000 0.500
Ru1 0.000 0.000 0.000
Cl1 0.500 0.500 0.500

Short version: version 2 is the least stable of them.

Version 1
# PBE IrRuCl3, relaxed
# Total magnetic moment   3.34 μB/f.u.
data_IrRuCl3
_symmetry_space_group_name_H-M 'P 1'
_symmetry_Int_Tables_number 1
_cell_length_a 4.820
_cell_length_b 4.820
_cell_length_c 4.820
_cell_angle_alpha 90.00
_cell_angle_beta 90.00
_cell_angle_gamma 90.00
loop_
_symmetry_equiv_pos_as_xyz
'x,y,z'
loop_
_atom_site_label
_atom_site_fract_x
_atom_site_fract_y
_atom_site_fract_z
Ru1 0.500 0.500 0.500
Cl1 0.500 0.000 0.000
Cl2 0.000 0.500 0.000
Cl3 0.000 0.000 0.500
Ir1 0.000 0.000 0.000

Version 2
# PBE IrRuCl3, relaxed
# Total magnetic moment   3.24 μB/f.u.
data_IrRuCl3
_symmetry_space_group_name_H-M 'P 1'
_symmetry_Int_Tables_number 1
_cell_length_a 4.744
_cell_length_b 4.744
_cell_length_c 4.744
_cell_angle_alpha 90.00
_cell_angle_beta 90.00
_cell_angle_gamma 90.00
loop_
_symmetry_equiv_pos_as_xyz
'x,y,z'
loop_
_atom_site_label
_atom_site_fract_x
_atom_site_fract_y
_atom_site_fract_z
Cl1 0.500 0.000 0.000
Cl2 0.000 0.000 0.500
Cl3 0.000 0.500 0.000
Ir1 0.500 0.500 0.500
Ru1 0.000 0.000 0.000

Short version: version 2 is the least stable of them.